BaNbTeOs2 after structural relaxation, computed with GGA-PBEsol.

a b c (Å): 4.9642 4.9642 5.8594
angles (deg): 90.00 90.00 90.00
Space group P4/mmm (No. 123)
Unique sites:
Ba 0.0000 0.0000 0.0000 [1 per cell]
Nb 0.5000 0.5000 0.5000 [1 per cell]
Te 0.0000 0.0000 0.5000 [1 per cell]
Os 0.0000 0.5000 0.0000 [2 per cell]

N(E_F) in states/eV/atom: 1.1728
Energy relative to the elements, uncorrected in eV/atom: 3.2130
Final energy in eV/atom: -4.973
Density in Mg/m³: 8.490


CdCoCl2 after structural relaxation, computed with GGA-PBEsol.

a b c (Å): 6.5302 6.5302 6.5302
angles (deg): 90.00 90.00 90.00
Space group Fm-3m (No. 225)
Unique sites:
Cd 0.0000 0.0000 0.0000 [4 per cell]
Co 0.0000 0.0000 0.5000 [4 per cell]
Cl 0.2500 0.2500 0.2500 [8 per cell]

Relative energy among the computed polymorphs in kcal/mol of atoms: 13.33
N(E_F) in states/eV/atom: 1.3884
Energy relative to the elements, uncorrected in eV/atom: 0.2555
Final energy in eV/atom: -2.982
Density in Mg/m³: 5.778


SrBeCo2 after structural relaxation, computed with GGA-PBEsol.

a b c (Å): 2.9515 2.9515 6.8042
angles (deg): 90.00 90.00 90.00
Space group P4mm (No. 99)
Unique sites:
Sr 0.0000 0.0000 0.0000 [1 per cell]
Be 0.5000 0.5000 0.3470 [1 per cell]
Co 0.0000 0.0000 0.4950 [1 per cell]
Co 0.5000 0.5000 0.6682 [1 per cell]

ΔH_f (0 K) in kJ per mole of atoms: 40
N(E_F) in states/eV/atom: 0.8603
Final energy in eV/atom: -4.914
Density in Mg/m³: 6.009


MnFeSi2 after structural relaxation, computed with GGA-PBEsol.

a b c (Å): 6.2719 6.2719 5.1446
angles (deg): 90.00 90.00 90.00
Space group I-42d (No. 122)
Unique sites:
Mn 0.0000 0.0000 0.0000 [4 per cell]
Fe 0.0000 0.0000 0.5000 [4 per cell]
Si 0.2341 0.2500 0.6250 [8 per cell]

N(E_F) in states/eV/atom: 0.7107
Energy relative to the elements, uncorrected in eV/atom: 0.1932
Final energy in eV/atom: -7.361
Density in Mg/m³: 5.480


Mg3Rh after structural relaxation, computed with GGA-PBEsol.

a b c (Å): 3.1743 3.1743 7.2283
angles (deg): 90.00 90.00 90.00
Space group P4/mmm (No. 123)
Unique sites:
Mg 0.0000 0.0000 0.0000 [1 per cell]
Mg 0.5000 0.5000 0.3007 [2 per cell]
Rh 0.0000 0.0000 0.5000 [1 per cell]

ΔH_f (0 K) in kJ per mole of atoms: -25
N(E_F) in states/eV/atom: 0.3641
Final energy in eV/atom: -3.585
Density in Mg/m³: 4.009


CaBe2Re after structural relaxation, computed with GGA-PBEsol.

a b c (Å): 2.7738 2.7738 7.2049
angles (deg): 90.00 90.00 90.00
Space group P4mm (No. 99)
Unique sites:
Ca 0.0000 0.0000 0.0000 [1 per cell]
Be 0.0000 0.0000 0.5502 [1 per cell]
Be 0.5000 0.5000 0.6888 [1 per cell]
Re 0.5000 0.5000 0.3417 [1 per cell]

ΔH_f (0 K) in kJ per mole of atoms: 45
N(E_F) in states/eV/atom: 0.6537
Final energy in eV/atom: -5.403
Density in Mg/m³: 7.318


| no. | total magnetic moment (μB per atom) |
| --- | --- |
| 1 | 0.0956 |
| 2 | 0.4016 |
| 3 | 0.7147 |
| 4 | 0.8754 |
| 5 | 0.0001 |
| 6 | 0.0001 |